First-principles (PBE-GGA) data for crystalline Ta2ZnIr at its relaxed geometry, as listed in Alexandria via LeMat-Bulk.

Cell lengths 9.262, 9.262, 9.262 Å; angles 18.07, 18.07, 18.07 degrees
Element x y z (fractional)
Ta 0.000 0.000 0.000
Ta 0.241 0.241 0.241
Zn 0.489 0.489 0.489
Ir 0.745 0.745 0.745

Output
DFT formation energy = -0.08 eV per formula unit
Volume = 67 Å³/cell